First-principles (PBE) data for crystalline SrCuNiGe at its relaxed geometry, as listed in Alexandria.

abc: 4.1959 4.1846 5.8388
angles: 110.96 90.00 120.09
Last column: nearest neighbours and their distance in Å.
Atoms (fractional coordinates):
Sr (0.6188, 0.2375, 0.4994)  4 Ni 3.01-3.34, 4 Cu 3.05-3.32
Cu (0.8103, 0.6206, 0.0731)  3 Ge 2.49, 3 Ni 2.53
Ni (0.4303, 0.8606, 0.9332)  3 Ge 2.41-2.43, 3 Cu 2.53
Ge (0.1070, 0.2139, 0.9617)  3 Ni 2.41-2.43, 3 Cu 2.49

Its magnetization is 0.0 μB per formula unit. The value obtained for the formation energy is -0.34 eV per atom. The density of states at the Fermi level is 0.54 states/eV/atom.